Entry 1:
A relaxed Nd4AsSe4 crystal, computed with PBE.

Properties
Magnetic moment in Bohr magnetons per cell: 0.000
E_tot in eV/atom: -6.000
N(E_F) in states/eV/f.u.: 2.3
E_form (uncorrected) in eV/f.u.: -16.345

Structure (CIF):
```
data_Nd4AsSe4
_chemical_formula_sum 'Nd8 As2 Se8'
_symmetry_space_group_name_H-M 'C 1 2/m 1'
_symmetry_Int_Tables_number 12
_symmetry_space_group_name_Hall '-C 2y'
_cell_length_a 14.130
_cell_length_b 4.255
_cell_length_c 10.489
_cell_angle_alpha 90.00
_cell_angle_beta 120.37
_cell_angle_gamma 90.00
loop_
_atom_site_label
_atom_site_type_symbol
_atom_site_fract_x
_atom_site_fract_y
_atom_site_fract_z
Nd1 Nd 0.093 0.000 0.396
Nd2 Nd 0.205 0.500 0.802
As1 As 0.000 0.500 0.500
Se1 Se 0.107 0.000 0.895
Se2 Se 0.199 0.500 0.303
```


Entry 2:
A relaxed Dy4ErZn crystal, computed with PBE.

Properties
Magnetic moment in Bohr magnetons per cell: 0.001
E_tot in eV/atom: -4.141
N(E_F) in states/eV/f.u.: 7.5
ΔH_f (0 K) in eV per atom: -0.10
Energy above the lowest structure with this stoichiometry in meV/atom: 0

Structure (CIF):
```
data_Dy4ErZn
_chemical_formula_sum 'Dy4 Er1 Zn1'
_symmetry_space_group_name_H-M 'P 4/m m m'
_symmetry_Int_Tables_number 123
_symmetry_space_group_name_Hall '-P 4 2'
_cell_length_a 3.541
_cell_length_b 3.541
_cell_length_c 13.626
_cell_angle_alpha 90.00
_cell_angle_beta 90.00
_cell_angle_gamma 90.00
loop_
_atom_site_label
_atom_site_type_symbol
_atom_site_fract_x
_atom_site_fract_y
_atom_site_fract_z
Dy1 Dy 0.000 0.000 0.131
Dy2 Dy 0.500 0.500 0.318
Er1 Er 0.000 0.000 0.500
Zn1 Zn 0.500 0.500 0.000
```


Entry 3:
A relaxed Sc2FePb crystal, computed with PBE.

Properties
Magnetic moment in Bohr magnetons per cell: 7.504
E_tot in eV/atom: -5.987
N(E_F) in states/eV/f.u.: 4.5
ΔH_f (0 K) in eV per atom: 0.22

Structure (CIF):
```
data_Sc2FePb
_chemical_formula_sum 'Sc6 Fe3 Pb3'
_symmetry_space_group_name_H-M 'R 3 m'
_symmetry_Int_Tables_number 160
_symmetry_space_group_name_Hall 'R 3 -2"'
_cell_length_a 3.3124
_cell_length_b 3.3124
_cell_length_c 27.6809
_cell_angle_alpha 90.00
_cell_angle_beta 90.00
_cell_angle_gamma 120.00
loop_
_atom_site_label
_atom_site_type_symbol
_atom_site_fract_x
_atom_site_fract_y
_atom_site_fract_z
Sc1 Sc 0.0000 0.0000 0.0000
Sc2 Sc 0.0000 0.0000 0.2360
Fe1 Fe 0.0000 0.0000 0.7362
Pb1 Pb 0.0000 0.0000 0.4765
```


What did the second record say?
A relaxed Dy4ErZn crystal, computed with PBE.

Properties
Magnetic moment in Bohr magnetons per cell: 0.001
E_tot in eV/atom: -4.141
N(E_F) in states/eV/f.u.: 7.5
ΔH_f (0 K) in eV per atom: -0.10
Energy above the lowest structure with this stoichiometry in meV/atom: 0

Structure (CIF):
```
data_Dy4ErZn
_chemical_formula_sum 'Dy4 Er1 Zn1'
_symmetry_space_group_name_H-M 'P 4/m m m'
_symmetry_Int_Tables_number 123
_symmetry_space_group_name_Hall '-P 4 2'
_cell_length_a 3.541
_cell_length_b 3.541
_cell_length_c 13.626
_cell_angle_alpha 90.00
_cell_angle_beta 90.00
_cell_angle_gamma 90.00
loop_
_atom_site_label
_atom_site_type_symbol
_atom_site_fract_x
_atom_site_fract_y
_atom_site_fract_z
Dy1 Dy 0.000 0.000 0.131
Dy2 Dy 0.500 0.500 0.318
Er1 Er 0.000 0.000 0.500
Zn1 Zn 0.500 0.500 0.000
```


- Among the records above, which one has the highest N(E_F)?
  Dy4ErZn


- Among the records above, which one has the highest E_tot?
  Dy4ErZn